Entry 1:
A geometry-optimized TcMo2Ir structure. Source: the Alexandria database, functional GGA-PBEsol.

```
data_TcMo2Ir
_chemical_formula_sum 'Tc1 Mo2 Ir1'
_symmetry_space_group_name_H-M 'P 1'
_symmetry_Int_Tables_number 1
_symmetry_space_group_name_Hall 'P 1'
_cell_length_a 2.7208
_cell_length_b 4.7658
_cell_length_c 4.7836
_cell_angle_alpha 98.72
_cell_angle_beta 90.00
_cell_angle_gamma 106.59
loop_
_atom_site_label
_atom_site_type_symbol
_atom_site_fract_x
_atom_site_fract_y
_atom_site_fract_z
_atom_site_occupancy
Ir1 Ir 0.7531 0.5062 0.2504 1
Mo1 Mo 0.0072 0.0145 0.0118 1
Mo2 Mo 0.2475 0.4950 0.7413 1
Tc1 Tc 0.4921 0.9843 0.4965 1
```

## Properties
The energy comes out at -44.737 eV/cell. For the energy above the most stable polymorph in this dataset, the calculation gives 62.8 meV/atom. The value obtained for the density of states at the Fermi level is 0.850 states/eV per atom.

=====

Entry 2:
A geometry-optimized Na4MnAl3Si3O16 structure. Source: the Alexandria database, functional GGA-PBEsol.

```
data_Na4MnAl3Si3O16
_chemical_formula_sum 'Na8 Mn2 Al6 Si6 O32'
_symmetry_space_group_name_H-M 'P 1'
_symmetry_Int_Tables_number 1
_symmetry_space_group_name_Hall 'P 1'
_cell_length_a 9.1220
_cell_length_b 9.1246
_cell_length_c 9.1993
_cell_angle_alpha 90.00
_cell_angle_beta 90.00
_cell_angle_gamma 90.12
loop_
_atom_site_label
_atom_site_type_symbol
_atom_site_fract_x
_atom_site_fract_y
_atom_site_fract_z
_atom_site_occupancy
Na1 Na 0.2238 0.2754 0.2218 1
Na2 Na 0.7762 0.7246 0.2218 1
Na3 Na 0.2781 0.7779 0.2741 1
Na4 Na 0.7219 0.2221 0.2741 1
Na5 Na 0.2744 0.2247 0.7226 1
Na6 Na 0.7256 0.7753 0.7226 1
Na7 Na 0.2228 0.7227 0.7735 1
Na8 Na 0.7772 0.2773 0.7735 1
Mn1 Mn 0.0000 0.5000 0.0006 1
Mn2 Mn 0.5000 0.0000 0.5032 1
Al1 Al 0.2494 0.0017 0.9955 1
Al2 Al 0.7506 0.9983 0.9955 1
Al3 Al 0.5000 0.5000 0.2510 1
Al4 Al 0.9984 0.7506 0.4954 1
Al5 Al 0.0016 0.2494 0.4954 1
Al6 Al 0.5000 0.5000 0.7510 1
Si1 Si 0.5012 0.2508 0.0005 1
Si2 Si 0.4988 0.7492 0.0005 1
Si3 Si 0.0000 0.0000 0.2450 1
Si4 Si 0.7492 0.4987 0.5005 1
Si5 Si 0.2508 0.5013 0.5005 1
Si6 Si 0.0000 0.0000 0.7449 1
O1 O 0.6444 0.1512 0.0381 1
O2 O 0.3556 0.8488 0.0381 1
O3 O 0.4629 0.3435 0.1477 1
O4 O 0.5371 0.6565 0.1477 1
O5 O 0.1427 0.0418 0.1472 1
O6 O 0.8573 0.9582 0.1472 1
O7 O 0.0382 0.8538 0.3401 1
O8 O 0.9618 0.1462 0.3401 1
O9 O 0.3504 0.5443 0.3602 1
O10 O 0.6496 0.4557 0.3602 1
O11 O 0.3563 0.9928 0.4028 1
O12 O 0.6437 0.0072 0.4028 1
O13 O 0.1572 0.3549 0.4578 1
O14 O 0.8428 0.6451 0.4578 1
O15 O 0.1515 0.6447 0.5381 1
O16 O 0.8485 0.3553 0.5381 1
O17 O 0.4932 0.1436 0.6038 1
O18 O 0.5068 0.8564 0.6038 1
O19 O 0.3435 0.4629 0.6476 1
O20 O 0.6565 0.5371 0.6476 1
O21 O 0.0417 0.1427 0.6470 1
O22 O 0.9583 0.8573 0.6470 1
O23 O 0.1462 0.9619 0.8402 1
O24 O 0.8538 0.0381 0.8402 1
O25 O 0.4556 0.6494 0.8605 1
O26 O 0.5444 0.3506 0.8605 1
O27 O 0.0066 0.6437 0.9001 1
O28 O 0.9934 0.3563 0.9001 1
O29 O 0.3545 0.1575 0.9579 1
O30 O 0.6455 0.8425 0.9579 1
O31 O 0.1437 0.4937 0.1011 1
O32 O 0.8563 0.5063 0.1011 1
```

## Properties
The energy comes out at -390.795 eV/cell. The uncorrected formation energy is -2.464 eV per atom. The value obtained for the density of states at the Fermi level is 0.000 states/eV per atom.

=====

Entry 3:
A geometry-optimized KFe2Rh structure. Source: the Alexandria database, functional GGA-PBEsol.

```
data_KFe2Rh
_chemical_formula_sum 'K1 Fe2 Rh1'
_symmetry_space_group_name_H-M 'P 1'
_symmetry_Int_Tables_number 1
_symmetry_space_group_name_Hall 'P 1'
_cell_length_a 2.7013
_cell_length_b 3.7373
_cell_length_c 7.3080
_cell_angle_alpha 90.00
_cell_angle_beta 90.00
_cell_angle_gamma 90.00
loop_
_atom_site_label
_atom_site_type_symbol
_atom_site_fract_x
_atom_site_fract_y
_atom_site_fract_z
_atom_site_occupancy
Fe1 Fe 0.0000 0.0000 0.6524 1
Fe2 Fe 0.0000 0.0000 0.3476 1
K1 K 0.5000 0.5000 0.0000 1
Rh1 Rh 0.5000 0.5000 0.5000 1
```

## Properties
The energy comes out at -24.674 eV/cell. For the energy above the most stable polymorph in this dataset, the calculation gives 12.9 meV/atom. The value obtained for the density of states at the Fermi level is 0.894 states/eV per atom.

=====

Entry 4:
A geometry-optimized ZrFeTe2 structure. Source: the Alexandria database, functional GGA-PBEsol.

```
data_ZrFeTe2
_chemical_formula_sum 'Zr1 Fe1 Te2'
_symmetry_space_group_name_H-M 'P 1'
_symmetry_Int_Tables_number 1
_symmetry_space_group_name_Hall 'P 1'
_cell_length_a 3.5006
_cell_length_b 4.7304
_cell_length_c 4.7304
_cell_angle_alpha 90.00
_cell_angle_beta 90.00
_cell_angle_gamma 90.00
loop_
_atom_site_label
_atom_site_type_symbol
_atom_site_fract_x
_atom_site_fract_y
_atom_site_fract_z
_atom_site_occupancy
Fe1 Fe 0.5000 0.0000 0.0000 1
Te1 Te 0.0000 0.0000 0.5000 1
Te2 Te 0.0000 0.5000 0.0000 1
Zr1 Zr 0.5000 0.5000 0.5000 1
```

## Properties
The energy comes out at -25.809 eV/cell. The uncorrected formation energy is -0.176 eV per atom. The value obtained for the density of states at the Fermi level is 1.256 states/eV per atom.

=====

Entry 5:
A geometry-optimized ReAgP2 structure. Source: the Alexandria database, functional GGA-PBEsol.

```
data_ReAgP2
_chemical_formula_sum 'Re1 Ag1 P2'
_symmetry_space_group_name_H-M 'P 1'
_symmetry_Int_Tables_number 1
_symmetry_space_group_name_Hall 'P 1'
_cell_length_a 2.9931
_cell_length_b 2.9931
_cell_length_c 7.7142
_cell_angle_alpha 78.81
_cell_angle_beta 78.81
_cell_angle_gamma 60.00
loop_
_atom_site_label
_atom_site_type_symbol
_atom_site_fract_x
_atom_site_fract_y
_atom_site_fract_z
_atom_site_occupancy
Ag1 Ag 0.2568 0.2568 0.2296 1
P1 P 0.0090 0.0090 0.9731 1
P2 P 0.7482 0.7482 0.7553 1
Re1 Re 0.4860 0.4860 0.5421 1
```

## Properties
The energy comes out at -27.171 eV/cell. For the energy above the most stable polymorph in this dataset, the calculation gives 298.5 meV/atom. The value obtained for the density of states at the Fermi level is 0.403 states/eV per atom.

=====

Entry 6:
A geometry-optimized ZrTeOsN2 structure. Source: the Alexandria database, functional GGA-PBEsol.

```
data_ZrTeOsN2
_chemical_formula_sum 'Zr1 Te1 Os1 N2'
_symmetry_space_group_name_H-M 'P 1'
_symmetry_Int_Tables_number 1
_symmetry_space_group_name_Hall 'P 1'
_cell_length_a 3.8951
_cell_length_b 3.8951
_cell_length_c 5.5141
_cell_angle_alpha 90.00
_cell_angle_beta 90.00
_cell_angle_gamma 90.00
loop_
_atom_site_label
_atom_site_type_symbol
_atom_site_fract_x
_atom_site_fract_y
_atom_site_fract_z
_atom_site_occupancy
Te1 Te 0.0000 0.0000 0.5000 1
Os1 Os 0.0000 0.0000 0.0000 1
Zr1 Zr 0.5000 0.5000 0.5000 1
N1 N 0.0000 0.5000 0.0000 1
N2 N 0.5000 0.0000 0.0000 1
```

## Properties
The energy comes out at -38.991 eV/cell. For the energy above the most stable polymorph in this dataset, the calculation gives 0.0 meV/atom. The uncorrected formation energy is 0.579 eV per atom. The value obtained for the density of states at the Fermi level is 0.823 states/eV per atom.